No. 1
Below is a relaxed structure of LiSn4Pd4, with properties calculated at the PBE level.

Calculated values
For the density of states at the Fermi level, the calculation gives 2.51 states/eV/cell. The value obtained for the formation enthalpy at 0 K is -0.37 eV/atom.

Cell lengths 6.9645, 6.9645, 6.9645 Å; angles 97.90, 97.90, 136.48 degrees
Closest atoms and distances in Å follow each position.
Positions (direct):
Li  0.0000  0.0000  0.0000  4 Pd 3.28
Sn  0.1237  0.6151  0.7388  5 Pd 2.63-2.78
Sn  0.3849  0.1237  0.5086  5 Pd 2.63-2.78
Sn  0.6151  0.8763  0.4914  5 Pd 2.63-2.78
Sn  0.8763  0.3849  0.2612  5 Pd 2.63-2.78
Pd  0.1704  0.3151  0.4854  5 Sn 2.63-2.78
Pd  0.3151  0.8296  0.1447  5 Sn 2.63-2.78
Pd  0.6849  0.1704  0.8553  5 Sn 2.63-2.78
Pd  0.8296  0.6849  0.5146  5 Sn 2.63-2.78

---

No. 2
Below is a relaxed structure of Dy7HoSc3, with properties calculated at the PBE level.

Calculated values
For the density of states at the Fermi level, the calculation gives 36.87 states/eV/cell. The value obtained for the formation enthalpy at 0 K is 0.15 eV/atom.

Cell lengths 9.5818, 9.5818, 10.9412 Å; angles 90.17, 90.17, 138.88 degrees
Closest atoms and distances in Å follow each position.
Positions (direct):
Dy  0.0868  0.4119  0.0368  4 Dy 3.24-3.48, 3 Sc 3.28-3.39, 1 Ho 3.40
Dy  0.0895  0.4145  0.4634  4 Dy 3.24-3.49, 3 Sc 3.27-3.38, 1 Ho 3.40
Dy  0.1640  0.3453  0.7499  3 Dy 3.25-3.39, 4 Sc 3.31-3.63, 2 Ho 3.58-3.60
Dy  0.2445  0.2445  0.2495  2 Sc 3.18-3.22, 2 Ho 3.21-3.24
Dy  0.3453  0.1640  0.7499  3 Dy 3.25-3.39, 4 Sc 3.31-3.63, 2 Ho 3.58-3.60
Dy  0.4119  0.0868  0.0368  4 Dy 3.24-3.48, 3 Sc 3.28-3.39, 1 Ho 3.40
Dy  0.4145  0.0895  0.4634  4 Dy 3.24-3.49, 3 Sc 3.27-3.38, 1 Ho 3.40
Dy  0.5855  0.9105  0.5366  4 Dy 3.24-3.49, 3 Sc 3.27-3.38, 1 Ho 3.40
Dy  0.5881  0.9132  0.9632  4 Dy 3.24-3.48, 3 Sc 3.28-3.39, 1 Ho 3.40
Dy  0.6547  0.8360  0.2501  3 Dy 3.25-3.39, 4 Sc 3.31-3.63, 2 Ho 3.58-3.60
Dy  0.7555  0.7555  0.7505  2 Sc 3.18-3.22, 2 Ho 3.21-3.24
Dy  0.8360  0.6547  0.2501  3 Dy 3.25-3.39, 4 Sc 3.31-3.63, 2 Ho 3.58-3.60
Dy  0.9105  0.5855  0.5366  4 Dy 3.24-3.49, 3 Sc 3.27-3.38, 1 Ho 3.40
Dy  0.9132  0.5881  0.9632  4 Dy 3.24-3.48, 3 Sc 3.28-3.39, 1 Ho 3.40
Ho  0.0000  0.0000  0.5000  6 Dy 3.21-3.40, 2 Sc 3.36
Ho  0.5000  0.5000  0.0000  10 Dy 3.24-3.58, 2 Sc 3.36
Sc  0.0000  0.0000  0.0000  6 Dy 3.18-3.39, 2 Ho 3.36
Sc  0.2472  0.7499  0.2503  6 Dy 3.27-3.33, 2 Sc 3.37
Sc  0.2501  0.7528  0.7497  6 Dy 3.27-3.33, 2 Sc 3.37
Sc  0.5000  0.5000  0.5000  10 Dy 3.22-3.59, 2 Ho 3.36
Sc  0.7499  0.2472  0.2503  6 Dy 3.27-3.33, 2 Sc 3.37
Sc  0.7528  0.2501  0.7497  6 Dy 3.27-3.33, 2 Sc 3.37

---

No. 3
Below is a relaxed structure of NaPu4NpN8, with properties calculated at the PBE level.

Calculated values
The value obtained for the total energy is -10.75 eV/atom. For the density of states at the Fermi level, the calculation gives 32.44 states/eV/cell.

Cell lengths 6.8771, 6.8771, 6.8771 Å; angles 59.64, 59.64, 59.64 degrees
Closest atoms and distances in Å follow each position.
Positions (direct):
Na  0.0000  0.0000  0.0000  4 N 2.49-2.52
Pu  0.3715  0.3715  0.8748  6 N 2.20-2.33
Pu  0.3715  0.8748  0.3715  6 N 2.20-2.33
Pu  0.7442  0.7442  0.7442  4 N 2.30-2.37
Pu  0.8748  0.3715  0.3715  6 N 2.20-2.33
Np  0.3708  0.3708  0.3708  6 N 2.14-2.24
N  0.1475  0.1475  0.1475  3 Pu 2.20
N  0.1523  0.1523  0.5483  1 Np 2.14, 2 Pu 2.23
N  0.1523  0.5483  0.1523  1 Np 2.14, 2 Pu 2.23
N  0.1680  0.6006  0.6006  1 Np 2.24, 3 Pu 2.33-2.37
N  0.5483  0.1523  0.1523  1 Np 2.14, 2 Pu 2.23
N  0.6006  0.1680  0.6006  1 Np 2.24, 3 Pu 2.33-2.37
N  0.6006  0.6006  0.1680  1 Np 2.24, 3 Pu 2.33-2.37
N  0.6081  0.6081  0.6081  4 Pu 2.30

---

No. 4
Below is a relaxed structure of Sc2TlF8, with properties calculated at the PBE level.

Calculated values
The value obtained for the total energy is -5.96 eV/atom. For the density of states at the Fermi level, the calculation gives 4.06 states/eV/cell.

Cell lengths 5.9477, 5.9477, 4.1194 Å; angles 95.48, 95.48, 112.21 degrees
Closest atoms and distances in Å follow each position.
Positions (direct):
Sc  0.1782  0.8218  0.0000  8 F 2.14-2.18
Sc  0.8218  0.1782  0.0000  8 F 2.14-2.18
Tl  0.5000  0.5000  0.5000  12 F 2.56-2.84
F  0.1060  0.1060  0.2735  2 Sc 2.14
F  0.1685  0.4499  0.9278  2 Sc 2.15-2.18, 1 F 2.41
F  0.2410  0.7590  0.5000  2 Sc 2.15
F  0.4499  0.1685  0.9278  2 Sc 2.15-2.18, 1 F 2.41
F  0.5501  0.8315  0.0722  2 Sc 2.15-2.18, 1 F 2.41
F  0.7590  0.2410  0.5000  2 Sc 2.15
F  0.8315  0.5501  0.0722  2 Sc 2.15-2.18, 1 F 2.41
F  0.8940  0.8940  0.7265  2 Sc 2.14

---

No. 5
Below is a relaxed structure of Re2MoSe, with properties calculated at the PBE level.

Calculated values
The value obtained for the total energy is -9.23 eV/atom. For the density of states at the Fermi level, the calculation gives 7.89 states/eV/cell.

Cell lengths 3.0278, 4.6660, 9.0754 Å; angles 90.00, 90.00, 90.00 degrees
Closest atoms and distances in Å follow each position.
Positions (direct):
Re  0.0000  0.0000  0.0000  6 Re 2.63-2.78, 2 Se 2.87
Re  0.0000  0.5000  0.2373  6 Re 2.63-2.78, 2 Mo 2.68
Re  0.5000  0.0000  0.2373  6 Re 2.63-2.78, 2 Mo 2.68
Re  0.5000  0.5000  0.0000  6 Re 2.63-2.78, 2 Se 2.87
Mo  0.0000  0.0000  0.4809  2 Re 2.68, 2 Se 2.73, 4 Mo 2.78
Mo  0.5000  0.5000  0.4809  2 Re 2.68, 2 Se 2.73, 4 Mo 2.78
Se  0.0000  0.5000  0.7316  2 Mo 2.73, 6 Se 2.78-3.03, 2 Re 2.87
Se  0.5000  0.0000  0.7316  2 Mo 2.73, 6 Se 2.78-3.03, 2 Re 2.87

---

No. 6
Below is a relaxed structure of BeAlH, with properties calculated at the PBE level.

Calculated values
The value obtained for the total energy is -3.37 eV/atom. For the density of states at the Fermi level, the calculation gives 0.64 states/eV/cell.

Cell lengths 8.3304, 2.5764, 3.9428 Å; angles 90.00, 117.61, 90.00 degrees
Closest atoms and distances in Å follow each position.
Positions (direct):
Be  0.0000  0.0000  0.0000  1 H 1.43
Be  0.5000  0.5000  0.0000  1 H 1.43
Al  0.4033  0.0000  0.4027  1 H 1.69
Al  0.9033  0.5000  0.4027  1 H 1.69
H  0.1825  0.0000  0.3028  1 Be 1.43
H  0.6825  0.5000  0.3028  1 Be 1.43

---

No. 7
Below is a relaxed structure of LaAlCo4, with properties calculated at the PBE level.

Calculated values
For the density of states at the Fermi level, the calculation gives 9.34 states/eV/cell. The value obtained for the formation enthalpy at 0 K is -0.06 eV/atom.

Cell lengths 4.9952, 4.9952, 4.9952 Å; angles 60.00, 60.00, 60.00 degrees
Closest atoms and distances in Å follow each position.
Positions (direct):
La  0.0000  0.0000  0.0000  12 Co 2.93, 4 Al 3.06
Al  0.7500  0.7500  0.7500  12 Co 2.92, 4 La 3.06
Co  0.3768  0.3768  0.3768  6 Co 2.46-2.53
Co  0.3768  0.3768  0.8696  6 Co 2.46-2.53
Co  0.3768  0.8696  0.3768  6 Co 2.46-2.53
Co  0.8696  0.3768  0.3768  6 Co 2.46-2.53

---

No. 8
Below is a relaxed structure of Al3S4, with properties calculated at the PBE level.

Calculated values
The value obtained for the total energy is -4.84 eV/atom. For the density of states at the Fermi level, the calculation gives 1.22 states/eV/cell.

Cell lengths 12.9512, 3.5118, 6.0416 Å; angles 90.00, 114.18, 90.00 degrees
Closest atoms and distances in Å follow each position.
Positions (direct):
Al  0.0000  0.0000  0.0000  6 S 2.51-2.58
Al  0.2311  0.5000  0.7121  6 S 2.35-2.60
Al  0.2689  0.0000  0.2879  6 S 2.35-2.60
Al  0.5000  0.5000  0.0000  6 S 2.51-2.58
Al  0.7311  0.0000  0.7121  6 S 2.35-2.60
Al  0.7689  0.5000  0.2879  6 S 2.35-2.60
S  0.1283  0.0000  0.4591  4 Al 2.35-2.58
S  0.1360  0.5000  0.9889  5 Al 2.45-2.60
S  0.3640  0.0000  0.0111  5 Al 2.45-2.60
S  0.3717  0.5000  0.5409  4 Al 2.35-2.58
S  0.6283  0.5000  0.4591  4 Al 2.35-2.58
S  0.6360  0.0000  0.9889  5 Al 2.45-2.60
S  0.8640  0.5000  0.0111  5 Al 2.45-2.60
S  0.8717  0.0000  0.5409  4 Al 2.35-2.58

---

Among the records above, which one has the highest density of states at the Fermi level? Dy7HoSc3